DFT (PBE) results for a relaxed Li3GaRh2O6 crystal.

abc: 5.2711 9.1405 5.1087
angles: 90.00 110.02 90.00
Last column: nearest neighbours and their distance in Å.
Space group C2/m (No. 12)
Asymmetric unit:
Li1 0.0000 0.0000 0.0000 [2 per cell]  6 O 2.18-2.21
Li2 0.0000 0.3260 0.0000 [4 per cell]  6 O 2.17-2.23
Ga1 0.0000 0.5000 0.5000 [2 per cell]  6 O 2.04-2.05
Rh1 0.0000 0.1665 0.5000 [4 per cell]  6 O 2.08-2.09
O1 0.2395 0.3363 0.7278 [8 per cell]  1 Ga 2.05, 2 Rh 2.08-2.09, 3 Li 2.17-2.18
O2 0.2475 0.0000 0.7265 [4 per cell]  1 Ga 2.04, 2 Rh 2.08, 3 Li 2.21-2.23

Summary:
The formation energy without anion corrections comes out at -1.47 eV/atom.